Record 1
The following is a DFT calculation (PBE-GGA) of crystalline Tm8Cu2Pd at its relaxed geometry.

abc: 8.9313 8.9313 6.6269
angles: 105.94 105.94 32.57
Element x y z (fractional)
Tm 0.0321 0.0321 0.2834
Tm 0.2005 0.2005 0.8275
Tm 0.3308 0.3308 0.5204
Tm 0.4079 0.4079 0.0472
Tm 0.5921 0.5921 0.9528
Tm 0.6692 0.6692 0.4796
Tm 0.7995 0.7995 0.1725
Tm 0.9679 0.9679 0.7166
Cu 0.1838 0.1838 0.2240
Cu 0.8162 0.8162 0.7760
Pd 0.5000 0.5000 0.5000

Results
**Formation energy from the elements**: -5.76 kcal/mol of atoms
**V**: 272.7 Å³ per cell
**Density**: 9.65 g/cm³



Record 2
The following is a DFT calculation (PBE-GGA) of crystalline TmCu5Pd8 at its relaxed geometry.

abc: 6.5754 6.5754 6.5754
angles: 110.48 110.48 107.48
Element x y z (fractional)
Tm 0.0000 0.0000 0.0000
Cu 0.2034 0.0489 0.5882
Cu 0.3848 0.7966 0.8455
Cu 0.4607 0.6152 0.4118
Cu 0.7500 0.2500 0.5000
Cu 0.9511 0.5393 0.1545
Pd 0.1085 0.3520 0.4376
Pd 0.1725 0.4124 0.9028
Pd 0.3292 0.8915 0.2435
Pd 0.5096 0.2697 0.0972
Pd 0.5876 0.4904 0.7601
Pd 0.6480 0.0856 0.7565
Pd 0.7303 0.8275 0.2399
Pd 0.9144 0.6708 0.5624

Results
**Formation energy from the elements**: -3.64 kcal/mol of atoms
**V**: 218.7 Å³ per cell
**Density**: 10.16 g/cm³



Record 3
The following is a DFT calculation (PBE-GGA) of crystalline Tm3Cu2Pd2 at its relaxed geometry.

abc: 3.9247 5.5537 7.3692
angles: 72.17 89.97 69.39
Element x y z (fractional)
Tm 0.0000 0.0000 0.0000
Tm 0.1713 0.6567 0.6430
Tm 0.8287 0.3433 0.3570
Cu 0.3138 0.3724 0.0606
Cu 0.6862 0.6276 0.9394
Pd 0.4522 0.0949 0.6646
Pd 0.5478 0.9051 0.3354

Results
**Formation energy from the elements**: -14.45 kcal/mol of atoms
**V**: 142.1 Å³ per cell
**Density**: 9.90 g/cm³



Record 4
The following is a DFT calculation (PBE-GGA) of crystalline Tm2Cu3Pd8 at its relaxed geometry.

abc: 7.4719 7.4719 5.1595
angles: 98.95 98.95 50.21
Element x y z (fractional)
Tm 0.1902 0.1902 0.1386
Tm 0.8098 0.8098 0.8614
Cu 0.3218 0.6782 0.0000
Cu 0.5000 0.5000 0.5000
Cu 0.6782 0.3218 0.0000
Pd 0.0029 0.0029 0.2605
Pd 0.0862 0.6078 0.3783
Pd 0.3303 0.3303 0.8085
Pd 0.3922 0.9138 0.6217
Pd 0.6078 0.0862 0.3783
Pd 0.6697 0.6697 0.1915
Pd 0.9138 0.3922 0.6217
Pd 0.9971 0.9971 0.7395

Results
**Formation energy from the elements**: -8.66 kcal/mol of atoms
**V**: 218.1 Å³ per cell
**Density**: 10.51 g/cm³



Record 5
The following is a DFT calculation (PBE-GGA) of crystalline Tm3Cu2Pd5 at its relaxed geometry.

abc: 9.5385 9.5385 3.9401
angles: 90.00 90.00 90.00
Element x y z (fractional)
Tm 0.0000 0.0000 0.0000
Tm 0.1728 0.3272 0.0000
Tm 0.3272 0.8272 0.0000
Tm 0.5000 0.5000 0.0000
Tm 0.6728 0.1728 0.0000
Tm 0.8272 0.6728 0.0000
Cu 0.1206 0.6206 0.0000
Cu 0.3794 0.1206 0.0000
Cu 0.6206 0.8794 0.0000
Cu 0.8794 0.3794 0.0000
Pd 0.0000 0.5000 0.5000
Pd 0.0748 0.7908 0.5000
Pd 0.2092 0.0748 0.5000
Pd 0.2908 0.5748 0.5000
Pd 0.4252 0.2908 0.5000
Pd 0.5000 0.0000 0.5000
Pd 0.5748 0.7092 0.5000
Pd 0.7092 0.4252 0.5000
Pd 0.7908 0.9252 0.5000
Pd 0.9252 0.2092 0.5000

Results
**Formation energy from the elements**: -16.97 kcal/mol of atoms
**V**: 358.5 Å³ per cell
**Density**: 10.80 g/cm³



Record 6
The following is a DFT calculation (PBE-GGA) of crystalline Tm2CuPd2 at its relaxed geometry.

abc: 7.4503 7.4503 7.4503
angles: 133.65 65.53 136.38
Element x y z (fractional)
Tm 0.1630 0.2258 0.3888
Tm 0.3370 0.7258 0.0628
Tm 0.6630 0.2742 0.9372
Tm 0.8370 0.7742 0.6112
Cu 0.2500 0.2500 0.0000
Cu 0.7500 0.7500 0.0000
Pd 0.1057 0.6919 0.7976
Pd 0.3943 0.1919 0.5862
Pd 0.6057 0.8081 0.4138
Pd 0.8943 0.3081 0.2024

Results
**Formation energy from the elements**: -14.60 kcal/mol of atoms
**V**: 203.4 Å³ per cell
**Density**: 10.03 g/cm³



Record 7
The following is a DFT calculation (PBE-GGA) of crystalline Tm3Cu8Pd at its relaxed geometry.

abc: 8.8733 8.8733 8.8733
angles: 33.30 33.30 33.30
Element x y z (fractional)
Tm 0.0000 0.0000 0.0000
Tm 0.1305 0.1305 0.1305
Tm 0.6098 0.6098 0.6098
Cu 0.0553 0.0553 0.5651
Cu 0.0553 0.5651 0.0553
Cu 0.0595 0.5598 0.5598
Cu 0.3083 0.3083 0.3083
Cu 0.5598 0.0595 0.5598
Cu 0.5598 0.5598 0.0595
Cu 0.5651 0.0553 0.0553
Cu 0.8090 0.8090 0.8090
Pd 0.4921 0.4921 0.4921

Results
**Formation energy from the elements**: -6.72 kcal/mol of atoms
**V**: 187.5 Å³ per cell
**Density**: 9.93 g/cm³



Record 8
The following is a DFT calculation (PBE-GGA) of crystalline Tm3CuPd at its relaxed geometry.

abc: 3.7047 6.9317 9.4265
angles: 90.00 90.00 90.00
Element x y z (fractional)
Tm 0.2500 0.0050 0.1832
Tm 0.2500 0.2500 0.5560
Tm 0.2500 0.4950 0.1832
Tm 0.7500 0.5050 0.8168
Tm 0.7500 0.7500 0.4440
Tm 0.7500 0.9950 0.8168
Cu 0.2500 0.2500 0.9363
Cu 0.7500 0.7500 0.0637
Pd 0.2500 0.7500 0.6643
Pd 0.7500 0.2500 0.3357

Results
**Formation energy from the elements**: -8.74 kcal/mol of atoms
**V**: 242.1 Å³ per cell
**Density**: 9.28 g/cm³



Record 9
The following is a DFT calculation (PBE-GGA) of crystalline Tm3CuPd at its relaxed geometry.

abc: 9.8493 9.8493 4.8775
angles: 90.00 90.00 151.31
Element x y z (fractional)
Tm 0.0711 0.9289 0.7500
Tm 0.2503 0.7497 0.7500
Tm 0.4289 0.5711 0.7500
Tm 0.5711 0.4289 0.2500
Tm 0.7497 0.2503 0.2500
Tm 0.9289 0.0711 0.2500
Cu 0.1582 0.8418 0.2500
Cu 0.8418 0.1582 0.7500
Pd 0.3397 0.6603 0.2500
Pd 0.6603 0.3397 0.7500

Results
**Formation energy from the elements**: -10.92 kcal/mol of atoms
**V**: 227.2 Å³ per cell
**Density**: 9.89 g/cm³



Record 10
The following is a DFT calculation (PBE-GGA) of crystalline Tm5Cu2Pd12 at its relaxed geometry.

abc: 7.5039 7.5039 7.6128
angles: 100.72 100.72 56.43
Element x y z (fractional)
Tm 0.0000 0.0000 0.0000
Tm 0.2957 0.2957 0.5159
Tm 0.3038 0.3038 0.0168
Tm 0.6962 0.6962 0.9832
Tm 0.7043 0.7043 0.4841
Cu 0.3306 0.6694 0.5000
Cu 0.6694 0.3306 0.5000
Pd 0.0333 0.6195 0.7899
Pd 0.0666 0.6880 0.2356
Pd 0.0703 0.0703 0.4061
Pd 0.3120 0.9334 0.7644
Pd 0.3805 0.9667 0.2101
Pd 0.4814 0.4814 0.8061
Pd 0.5186 0.5186 0.1939
Pd 0.6195 0.0333 0.7899
Pd 0.6880 0.0666 0.2356
Pd 0.9297 0.9297 0.5939
Pd 0.9334 0.3120 0.7644
Pd 0.9667 0.3805 0.2101

Results
**Formation energy from the elements**: -14.73 kcal/mol of atoms
**V**: 349.1 Å³ per cell
**Density**: 10.70 g/cm³



Record 11
The following is a DFT calculation (PBE-GGA) of crystalline Tm2Zn2CuPd5 at its relaxed geometry.

abc: 9.5286 9.5286 3.7470
angles: 90.00 90.00 90.00
Element x y z (fractional)
Tm 0.1762 0.3238 0.0000
Tm 0.3238 0.8238 0.0000
Tm 0.6762 0.1762 0.0000
Tm 0.8238 0.6762 0.0000
Zn 0.1228 0.6228 0.0000
Zn 0.3772 0.1228 0.0000
Zn 0.6228 0.8772 0.0000
Zn 0.8772 0.3772 0.0000
Cu 0.0000 0.0000 0.0000
Cu 0.5000 0.5000 0.0000
Pd 0.0000 0.5000 0.5000
Pd 0.0679 0.8007 0.5000
Pd 0.1993 0.0679 0.5000
Pd 0.3007 0.5679 0.5000
Pd 0.4321 0.3007 0.5000
Pd 0.5000 0.0000 0.5000
Pd 0.5679 0.6993 0.5000
Pd 0.6993 0.4321 0.5000
Pd 0.8007 0.9321 0.5000
Pd 0.9321 0.1993 0.5000

Results
**Formation energy from the elements**: -14.45 kcal/mol of atoms
**V**: 340.2 Å³ per cell
**Density**: 10.39 g/cm³



Record 12
The following is a DFT calculation (PBE-GGA) of crystalline Tm2Zn12Cu3Pd at its relaxed geometry.

abc: 12.7153 12.7153 12.7153
angles: 24.48 24.48 24.48
Element x y z (fractional)
Tm 0.1454 0.1454 0.1454
Tm 0.8546 0.8546 0.8546
Zn 0.1046 0.6133 0.6133
Zn 0.1063 0.1063 0.6292
Zn 0.1063 0.6292 0.1063
Zn 0.3708 0.8937 0.8937
Zn 0.3867 0.3867 0.8954
Zn 0.3867 0.8954 0.3867
Zn 0.6133 0.1046 0.6133
Zn 0.6133 0.6133 0.1046
Zn 0.6292 0.1063 0.1063
Zn 0.8937 0.3708 0.8937
Zn 0.8937 0.8937 0.3708
Zn 0.8954 0.3867 0.3867
Cu 0.0000 0.5000 0.5000
Cu 0.5000 0.0000 0.5000
Cu 0.5000 0.5000 0.0000
Pd 0.5000 0.5000 0.5000

Results
**Formation energy from the elements**: -1.56 kcal/mol of atoms
**V**: 310.3 Å³ per cell
**Density**: 7.60 g/cm³



Record 13
The following is a DFT calculation (PBE-GGA) of crystalline Tm4ZnCuPd2 at its relaxed geometry.

abc: 8.4913 8.4913 8.4913
angles: 33.56 33.56 33.56
Element x y z (fractional)
Tm 0.1232 0.1232 0.1232
Tm 0.3732 0.3732 0.3732
Tm 0.6268 0.6268 0.6268
Tm 0.8768 0.8768 0.8768
Zn 0.5000 0.5000 0.5000
Cu 0.0000 0.0000 0.0000
Pd 0.2481 0.2481 0.2481
Pd 0.7519 0.7519 0.7519

Results
**Formation energy from the elements**: -14.62 kcal/mol of atoms
**V**: 166.7 Å³ per cell
**Density**: 10.14 g/cm³



Record 14
The following is a DFT calculation (PBE-GGA) of crystalline Tm2Zn3Cu12Pd at its relaxed geometry.

abc: 9.6186 9.6186 9.6186
angles: 37.24 37.24 37.24
Element x y z (fractional)
Tm 0.1426 0.1426 0.1426
Tm 0.8574 0.8574 0.8574
Zn 0.0000 0.5000 0.5000
Zn 0.5000 0.0000 0.5000
Zn 0.5000 0.5000 0.0000
Cu 0.0733 0.6175 0.6175
Cu 0.0816 0.0816 0.6954
Cu 0.0816 0.6954 0.0816
Cu 0.3046 0.9184 0.9184
Cu 0.3825 0.3825 0.9267
Cu 0.3825 0.9267 0.3825
Cu 0.6175 0.0733 0.6175
Cu 0.6175 0.6175 0.0733
Cu 0.6954 0.0816 0.0816
Cu 0.9184 0.3046 0.9184
Cu 0.9184 0.9184 0.3046
Cu 0.9267 0.3825 0.3825
Pd 0.5000 0.5000 0.5000

Results
**Formation energy from the elements**: 2.33 kcal/mol of atoms
**V**: 292.2 Å³ per cell
**Density**: 7.97 g/cm³



Record 15
The following is a DFT calculation (PBE-GGA) of crystalline TmZnCuPd at its relaxed geometry.

abc: 4.6021 4.6021 4.6021
angles: 60.00 60.00 60.00
Element x y z (fractional)
Tm 0.0000 0.0000 0.0000
Zn 0.5000 0.5000 0.5000
Cu 0.7500 0.7500 0.7500
Pd 0.2500 0.2500 0.2500

Results
**Formation energy from the elements**: -10.92 kcal/mol of atoms
**V**: 68.9 Å³ per cell
**Density**: 9.74 g/cm³



Record 16
The following is a DFT calculation (PBE-GGA) of crystalline Tm4ZnCu2Pd at its relaxed geometry.

abc: 8.4804 8.4804 8.4804
angles: 33.48 33.48 33.48
Element x y z (fractional)
Tm 0.1233 0.1233 0.1233
Tm 0.3737 0.3737 0.3737
Tm 0.6263 0.6263 0.6263
Tm 0.8767 0.8767 0.8767
Zn 0.5000 0.5000 0.5000
Cu 0.2461 0.2461 0.2461
Cu 0.7539 0.7539 0.7539
Pd 0.0000 0.0000 0.0000

Results
**Formation energy from the elements**: -10.99 kcal/mol of atoms
**V**: 165.3 Å³ per cell
**Density**: 9.79 g/cm³



Record 17
The following is a DFT calculation (PBE-GGA) of crystalline UCu5Pd6 at its relaxed geometry.

abc: 6.4760 6.4760 7.0398
angles: 90.00 90.00 142.72
Element x y z (fractional)
U 0.0000 0.0000 0.0000
Cu 0.0000 0.0000 0.5000
Cu 0.3245 0.6755 0.0000
Cu 0.3344 0.6656 0.5000
Cu 0.6656 0.3344 0.5000
Cu 0.6755 0.3245 0.0000
Pd 0.1677 0.8323 0.2578
Pd 0.1677 0.8323 0.7422
Pd 0.5000 0.5000 0.2618
Pd 0.5000 0.5000 0.7382
Pd 0.8323 0.1677 0.2578
Pd 0.8323 0.1677 0.7422

Results
**Formation energy from the elements**: -5.32 kcal/mol of atoms
**V**: 178.8 Å³ per cell
**Density**: 11.09 g/cm³



Record 18
The following is a DFT calculation (PBE-GGA) of crystalline UCuPd4 at its relaxed geometry.

abc: 5.2823 5.2823 5.2823
angles: 60.00 60.00 60.00
Element x y z (fractional)
U 0.0000 0.0000 0.0000
Cu 0.2500 0.2500 0.2500
Pd 0.1267 0.6244 0.6244
Pd 0.6244 0.1267 0.6244
Pd 0.6244 0.6244 0.1267
Pd 0.6244 0.6244 0.6244

Results
**Formation energy from the elements**: -5.15 kcal/mol of atoms
**V**: 104.2 Å³ per cell
**Density**: 11.59 g/cm³



Record 19
The following is a DFT calculation (PBE-GGA) of crystalline UCuPd4 at its relaxed geometry.

abc: 4.9397 4.9397 9.4841
angles: 101.04 101.04 62.27
Element x y z (fractional)
U 0.0000 0.5000 0.0000
U 0.5000 0.0000 0.5000
Cu 0.0340 0.9660 0.2500
Cu 0.9660 0.0340 0.7500
Pd 0.1644 0.6737 0.4916
Pd 0.2707 0.3946 0.7447
Pd 0.3263 0.8356 0.0084
Pd 0.3946 0.2707 0.2447
Pd 0.6054 0.7293 0.7553
Pd 0.6737 0.1644 0.9916
Pd 0.7293 0.6054 0.2553
Pd 0.8356 0.3263 0.5084

Results
**Formation energy from the elements**: -6.81 kcal/mol of atoms
**V**: 199.7 Å³ per cell
**Density**: 12.10 g/cm³



Record 20
The following is a DFT calculation (PBE-GGA) of crystalline UCu2Pd5 at its relaxed geometry.

abc: 7.7750 7.7750 7.7750
angles: 148.76 148.76 44.77
Element x y z (fractional)
U 0.0000 0.0000 0.0000
Cu 0.2517 0.2517 0.0000
Cu 0.7483 0.7483 0.0000
Pd 0.1369 0.6369 0.5000
Pd 0.3631 0.8631 0.5000
Pd 0.5000 0.5000 0.0000
Pd 0.6369 0.1369 0.5000
Pd 0.8631 0.3631 0.5000

Results
**Formation energy from the elements**: -7.83 kcal/mol of atoms
**V**: 126.1 Å³ per cell
**Density**: 11.82 g/cm³



no.,VASP energy (eV/atom)
1,-4.719
2,-4.908
3,-5.197
4,-5.204
5,-5.493
6,-5.318
7,-4.573
8,-4.920
9,-5.014
10,-5.526
11,-4.782
12,-2.385
13,-4.839
14,-3.628
15,-4.232
16,-4.545
17,-5.474
18,-6.249
19,-6.321
20,-6.020